A plane-wave DFT calculation with PBE-GGA was carried out for an optimized crystal structure of Er4Tl2Sn.

Values from the calculation:
DFT formation energy in meV/atom: -196
DFT total energy in eV/atom: -4.05
DOS at the Fermi energy in states/eV per atom: 0.857
Magnetization in Bohr magnetons per cell: 0.0

Unit cell a=9.567 b=8.331 c=8.192 alpha=70.76 beta=55.30 gamma=53.94
Atoms (fractional coordinates):
Er1 0.114 0.318 0.327
Er2 0.259 0.673 0.682
Er3 0.318 0.114 0.741
Er4 0.327 0.741 0.114
Er5 0.673 0.259 0.886
Er6 0.682 0.886 0.259
Er7 0.741 0.327 0.318
Er8 0.886 0.682 0.673
Tl1 0.000 0.000 0.000
Tl2 0.000 0.000 0.500
Tl3 0.000 0.500 0.000
Tl4 0.500 0.000 0.000
Sn1 0.375 0.375 0.375
Sn2 0.625 0.625 0.625